(1)
MgScCoSi | the Open Quantum Materials Database | PBE-GGA | relaxed; ΔE to the lowest computed polymorph = 60 meV/atom
1.0
0.0000 3.1523 3.1523
3.1523 0.0000 3.1523
3.1523 3.1523 0.0000
Si Sc Co Mg
1 1 1 1
Direct
0.0000 0.0000 0.0000 Si
0.7500 0.7500 0.7500 Sc
0.5000 0.5000 0.5000 Co
0.2500 0.2500 0.2500 Mg


(2)
MgScCoSi | the Open Quantum Materials Database | PBE-GGA | relaxed; ΔE to the lowest computed polymorph = 72 meV/atom
1.0
0.0000 3.0922 3.0922
3.0922 0.0000 3.0922
3.0922 3.0922 0.0000
Sc Co Si Mg
1 1 1 1
Direct
0.2500 0.2500 0.2500 Sc
0.7500 0.7500 0.7500 Co
0.0000 0.0000 0.0000 Si
0.5000 0.5000 0.5000 Mg


(3)
MgScCoSi | the Open Quantum Materials Database | PBE-GGA | relaxed; ΔE to the lowest computed polymorph = 0 meV/atom
1.0
-2.1182 -3.4738 1.5321
-1.9274 0.1717 3.8932
-4.3385 0.0473 0.2776
Mg Sc Co Si
1 1 1 1
Direct
0.7500 0.7500 0.7500 Mg
0.0000 0.0000 0.0000 Sc
0.2500 0.2500 0.2500 Co
0.5000 0.5000 0.5000 Si


(4)
MgScTlCo | the Open Quantum Materials Database | PBE-GGA | relaxed; ΔE to the lowest computed polymorph = 20 meV/atom
1.0
3.7685 -0.4055 2.7335
-0.4410 -1.6151 4.3629
1.6430 -4.2339 1.1015
Tl Sc Mg Co
1 1 1 1
Direct
0.0000 0.0000 0.0000 Tl
0.2500 0.2500 0.2500 Sc
0.5000 0.5000 0.5000 Mg
0.7500 0.7500 0.7500 Co


(5)
MgScTlCo | the Open Quantum Materials Database | PBE-GGA | relaxed; ΔE to the lowest computed polymorph = 0 meV/atom
1.0
0.6002 0.8869 4.5418
-2.5465 -2.2777 3.1784
2.0108 -3.1858 2.7535
Mg Sc Tl Co
1 1 1 1
Direct
0.2500 0.2500 0.2500 Mg
0.5000 0.5000 0.5000 Sc
0.0000 0.0000 0.0000 Tl
0.7500 0.7500 0.7500 Co


(6)
MgCo3Si2 | the Open Quantum Materials Database | PBE-GGA | relaxed; VASP energy = -5.7441 eV/atom
1.0
3.8627 0.0000 0.0000
0.0000 3.8627 0.0000
0.0000 0.0000 5.4681
Mg Co Si
1 3 2
Direct
0.5000 0.5000 0.0000 Mg
0.0000 0.0000 0.0000 Co
0.0000 0.0000 0.5000 Co
0.5000 0.5000 0.5000 Co
0.0000 0.5000 0.7082 Si
0.5000 0.0000 0.2918 Si


(7)
Mg3CoSi | the Open Quantum Materials Database | PBE-GGA | relaxed; VASP energy = -2.9532 eV/atom
1.0
5.4717 0.0000 0.0000
-2.7358 4.7386 0.0000
0.0000 0.0000 9.4449
Mg Si Co
6 2 2
Direct
0.3443 0.0000 0.6883 Mg
0.6557 0.6557 0.6883 Mg
0.0000 0.6557 0.3117 Mg
0.3443 0.3443 0.3117 Mg
0.6557 0.0000 0.3117 Mg
0.0000 0.3443 0.6883 Mg
0.0000 0.0000 0.1160 Si
0.0000 0.0000 0.8840 Si
0.3333 0.6667 0.5000 Co
0.6667 0.3333 0.5000 Co


(8)
MgCoSi | the Open Quantum Materials Database | PBE-GGA | relaxed; VASP energy = -4.5341 eV/atom
1.0
-2.7786 1.3687 2.5351
-2.0721 -3.3964 -0.4374
2.9284 -2.3643 4.4861
Mg Si Co
2 2 2
Direct
0.5000 0.5000 0.7500 Mg
0.5000 0.5000 0.2500 Mg
0.0000 0.5000 0.5000 Si
0.5000 0.0000 0.0000 Si
0.0000 0.0000 0.2500 Co
0.0000 0.0000 0.7500 Co